Here is a geometry-optimized SrCe2PtO8 structure from Alexandria via LeMat-Bulk. Energies are from PBE-GGA.

**Formation energy without anion corrections**: -2.17 eV per atom
**Calculated volume**: 15.41 Å³/atom
**Crystal system**: monoclinic
**Theoretical density**: 6.20 g/cm3
**Magnetic moment**: 1.108 μB per formula unit
**E**: -7.105 eV/atom

CIF file:
```
data_SrCe2PtO8
_symmetry_space_group_name_H-M 'P 1'
_symmetry_Int_Tables_number 1
_symmetry_space_group_name_Hall 'P 1'
_cell_length_a 5.097
_cell_length_b 7.117
_cell_length_c 5.098
_cell_angle_alpha 90.00
_cell_angle_beta 90.70
_cell_angle_gamma 90.00
loop_
_atom_site_label
_atom_site_type_symbol
_atom_site_fract_x
_atom_site_fract_y
_atom_site_fract_z
Sr1 Sr 0.000 0.000 0.000
Ce1 Ce 0.500 0.251 0.500
Ce2 Ce 0.500 0.749 0.500
Pt1 Pt 0.000 0.500 0.000
O1 O 0.191 0.301 0.193
O2 O 0.191 0.699 0.193
O3 O 0.278 0.500 0.724
O4 O 0.329 0.000 0.675
O5 O 0.671 0.000 0.325
O6 O 0.722 0.500 0.276
O7 O 0.809 0.301 0.807
O8 O 0.809 0.699 0.807
```